[1]
This record from Alexandria describes crystalline Be2CoAg at its relaxed geometry. The functional is GGA-PBE.

- E_form: 1.4 kcal/mol of atoms
- E above lowest polymorph: 0.738 eV per formula unit

a = 3.6178 Å, b = 2.7286 Å, c = 8.7963 Å
α = 90.00°, β = 90.00°, γ = 90.00°
Space group Amm2 (No. 38)
Symmetry-distinct sites (fractional):
Be 0.0000 0.0000 0.0000
Be 0.5000 0.0000 0.1422
Co 0.0000 0.0000 0.7017
Ag 0.5000 0.0000 0.4025

[2]
This record from Alexandria describes crystalline AsIr2Os at its relaxed geometry. The functional is GGA-PBE.

- E_form: 12.7 kcal/mol of atoms

a = 2.7370 Å, b = 4.8112 Å, c = 9.3259 Å
α = 90.00°, β = 90.00°, γ = 90.00°
Space group Cmm2 (No. 35)
Symmetry-distinct sites (fractional):
As 0.0000 0.0000 0.0000
Ir 0.0000 0.0000 0.4981
Ir 0.0000 0.5000 0.7512
Os 0.0000 0.5000 0.2544

[3]
This record from Alexandria describes crystalline ZrAs2Os at its relaxed geometry. The functional is GGA-PBE.

- E_form: 0.4 kcal/mol of atoms
- E above lowest polymorph: 1.620 eV per formula unit

a = 4.1461 Å, b = 4.1461 Å, c = 17.6414 Å
α = 90.00°, β = 90.00°, γ = 90.00°
Space group I-42d (No. 122)
Symmetry-distinct sites (fractional):
Zr 0.0000 0.0000 0.0000
As 0.2091 0.2500 0.6250
Os 0.0000 0.0000 0.5000

[4]
This record from Alexandria describes crystalline LiTl2InHg6 at its relaxed geometry. The functional is GGA-PBE.

- E_form: -1.2 kcal/mol of atoms

a = 6.4290 Å, b = 6.4665 Å, c = 6.5974 Å
α = 79.28°, β = 86.97°, γ = 87.60°
Space group P-1 (No. 2)
Symmetry-distinct sites (fractional):
Li 0.0000 0.0000 0.0000
Tl 0.2531 0.0946 0.4072
In 0.5000 0.5000 0.5000
Hg 0.0847 0.6402 0.2946
Hg 0.2221 0.7018 0.8235
Hg 0.3828 0.2195 0.9214

[5]
This record from Alexandria describes crystalline InHgIO2 at its relaxed geometry. The functional is GGA-PBE.

- Uncorrected formation energy: 0.2992 eV/atom
- E above lowest polymorph: 2.793 eV per formula unit

a = 4.3493 Å, b = 4.3493 Å, c = 6.3827 Å
α = 90.00°, β = 90.00°, γ = 90.00°
Space group P4/mmm (No. 123)
Symmetry-distinct sites (fractional):
In 0.0000 0.0000 0.0000
Hg 0.5000 0.5000 0.5000
I 0.5000 0.5000 0.0000
O 0.0000 0.5000 0.5000

[6]
This record from Alexandria describes crystalline KNa2InH at its relaxed geometry. The functional is GGA-PBE.

- Raw total energy: -9.78 eV per formula unit

a = 5.0697 Å, b = 5.0697 Å, c = 5.2895 Å
α = 90.00°, β = 90.00°, γ = 90.00°
Space group P4/mmm (No. 123)
Symmetry-distinct sites (fractional):
K 0.0000 0.0000 0.0000
Na 0.0000 0.5000 0.5000
In 0.5000 0.5000 0.0000
H 0.0000 0.0000 0.5000

[7]
This record from Alexandria describes crystalline ScMn2CuC at its relaxed geometry. The functional is GGA-PBE.

- E_form: -1.6 kcal/mol of atoms

a = 3.8269 Å, b = 3.8269 Å, c = 4.4029 Å
α = 90.00°, β = 90.00°, γ = 90.00°
Space group P4/mmm (No. 123)
Symmetry-distinct sites (fractional):
Sc 0.0000 0.0000 0.0000
Mn 0.0000 0.5000 0.5000
Cu 0.5000 0.5000 0.0000
C 0.0000 0.0000 0.5000

[8]
This record from Alexandria describes crystalline PmPa2Ru at its relaxed geometry. The functional is GGA-PBE.

- E_form: 0.0 kcal/mol of atoms
- E above lowest polymorph: 0.201 eV per formula unit

a = 3.6704 Å, b = 3.6704 Å, c = 27.3039 Å
α = 90.00°, β = 90.00°, γ = 120.00°
Space group R-3m (No. 166, hexagonal axes)
Symmetry-distinct sites (fractional):
Pm 0.0000 0.0000 0.0000
Pa 0.0000 0.0000 0.2302
Ru 0.0000 0.0000 0.5000

The records above yield volume values of 86.8; 122.8; 303.3; 269.0; 120.7; 136.0; 64.5; 318.5 Å³/cell, respectively.